The following is a DFT calculation (GGA+U) of a relaxed structure of NaGdMgFeO6.

```
NaGdMgFeO6
1.0
0.0000 3.8196 3.8196
3.8196 0.0000 3.8196
3.8196 3.8196 0.0000
O Fe Gd Mg Na
6 1 1 1 1
direct
0.2403 0.7597 0.2403
0.7597 0.2403 0.2403
0.2403 0.7597 0.7597
0.2403 0.2403 0.7597
0.7597 0.2403 0.7597
0.7597 0.7597 0.2403
0.0000 0.0000 0.0000
0.2500 0.2500 0.2500
0.5000 0.5000 0.5000
0.7500 0.7500 0.7500
```

Calculated values
The calculation puts the energy above the most stable polymorph in this dataset at 0.000 eV/atom.